An optimized crystal structure of Be2NiF, computed with PBE with a Hubbard U.

Cell lengths 3.8052, 3.8052, 3.8052 Å; angles 60.00, 60.00, 60.00 degrees
Fractional coordinates of all 4 atoms:
Be  0.2500  0.2500  0.2500
Be  0.7500  0.7500  0.7500
Ni  0.0000  0.0000  0.0000
F  0.5000  0.5000  0.5000

Properties
As for the polymorph energy (0 for the lowest one): 531.6 meV per atom. Its total magnetization is 0.000 μB/atom. For the volume, the calculation gives 39 Å³ per cell.